## w
Crystalline CsIrIO2 at its relaxed geometry, computed with PBE.

Lattice parameters (Å, degrees): 4.209 4.209 7.941 90.00 90.00 90.00
Space group P4/mmm (No. 123)
One atom of each set of equivalent atoms:
Cs1 0.000 0.000 0.000 (multiplicity 1)
Ir1 0.500 0.500 0.500 (multiplicity 1)
I1 0.000 0.000 0.500 (multiplicity 1)
O1 0.000 0.500 0.000 (multiplicity 2)

## x
Crystalline CsIrIO2 at its relaxed geometry, computed with PBE.

Lattice parameters (Å, degrees): 4.444 4.444 5.438 90.00 90.00 90.00
Space group P4/mmm (No. 123)
One atom of each set of equivalent atoms:
Cs1 0.000 0.000 0.000 (multiplicity 1)
Ir1 0.500 0.500 0.500 (multiplicity 1)
I1 0.500 0.500 0.000 (multiplicity 1)
O1 0.000 0.500 0.500 (multiplicity 2)

Relative energies in meV per atom: w 1144; x 0

## w
Crystalline CsIrI2O at its relaxed geometry, computed with PBE.

Lattice parameters (Å, degrees): 6.812 6.812 4.338 90.00 90.00 90.00
Space group P4/mmm (No. 123)
One atom of each set of equivalent atoms:
Cs1 0.000 0.000 0.000 (multiplicity 1)
Ir1 0.500 0.500 0.500 (multiplicity 1)
I1 0.000 0.500 0.000 (multiplicity 2)
O1 0.000 0.000 0.500 (multiplicity 1)

## x
Crystalline CsIrI2O at its relaxed geometry, computed with PBE.

Lattice parameters (Å, degrees): 6.116 6.116 3.821 90.00 90.00 90.00
Space group P4/mmm (No. 123)
One atom of each set of equivalent atoms:
Cs1 0.000 0.000 0.000 (multiplicity 1)
Ir1 0.500 0.500 0.500 (multiplicity 1)
I1 0.000 0.500 0.500 (multiplicity 2)
O1 0.500 0.500 0.000 (multiplicity 1)

Relative energies in meV per atom: w 1871; x 0

## w
Crystalline CsTeIrI2 at its relaxed geometry, computed with PBE.

Lattice parameters (Å, degrees): 5.903 5.903 5.102 90.00 90.00 90.00
Space group P4/mmm (No. 123)
One atom of each set of equivalent atoms:
Cs1 0.000 0.000 0.000 (multiplicity 1)
Te1 0.500 0.500 0.000 (multiplicity 1)
Ir1 0.500 0.500 0.500 (multiplicity 1)
I1 0.000 0.500 0.500 (multiplicity 2)

## x
Crystalline CsTeIrI2 at its relaxed geometry, computed with PBE.

Lattice parameters (Å, degrees): 7.220 7.220 7.233 90.00 90.00 90.00
Space group P4/mmm (No. 123)
One atom of each set of equivalent atoms:
Cs1 0.000 0.000 0.000 (multiplicity 1)
Te1 0.000 0.000 0.500 (multiplicity 1)
Ir1 0.500 0.500 0.500 (multiplicity 1)
I1 0.000 0.500 0.000 (multiplicity 2)

Relative energies in meV per atom: w 0; x 1812

## w
Crystalline CsKI2 at its relaxed geometry, computed with PBE.

Lattice parameters (Å, degrees): 4.483 4.483 9.069 90.00 90.00 90.00
Space group P4/mmm (No. 123)
One atom of each set of equivalent atoms:
Cs1 0.000 0.000 0.000 (multiplicity 1)
K1 0.000 0.000 0.500 (multiplicity 1)
I1 0.500 0.500 0.265 (multiplicity 2)

## x
Crystalline CsKI2 at its relaxed geometry, computed with PBE.

Lattice parameters (Å, degrees): 5.8384 5.8384 31.5745 90.00 90.00 120.00
Space group R-3m (No. 166, hexagonal axes)
One atom of each set of equivalent atoms:
Cs1 0.0000 0.0000 0.0000 (multiplicity 3)
K1 0.0000 0.0000 0.5000 (multiplicity 3)
I1 0.0000 0.0000 0.3978 (multiplicity 6)

Relative energies in meV per atom: w 0; x 157

## w
Crystalline CsKI2 at its relaxed geometry, computed with PBE.

Lattice parameters (Å, degrees): 5.1904 5.1904 27.0203 90.00 90.00 120.00
Space group R3m (No. 160, hexagonal axes)
One atom of each set of equivalent atoms:
Cs1 0.0000 0.0000 0.0000 (multiplicity 3)
K1 0.0000 0.0000 0.8306 (multiplicity 3)
I1 0.0000 0.0000 0.2405 (multiplicity 3)
I2 0.0000 0.0000 0.4233 (multiplicity 3)

## x
Crystalline CsKI2 at its relaxed geometry, computed with PBE.

Lattice parameters (Å, degrees): 5.2939 5.2939 26.0692 90.00 90.00 120.00
Space group R-3m (No. 166, hexagonal axes)
One atom of each set of equivalent atoms:
Cs1 0.0000 0.0000 0.0000 (multiplicity 3)
K1 0.0000 0.0000 0.5000 (multiplicity 3)
I1 0.0000 0.0000 0.2420 (multiplicity 6)

## y
Crystalline CsKI2 at its relaxed geometry, computed with PBE.

Lattice parameters (Å, degrees): 9.033 9.033 9.033 90.00 90.00 90.00
Space group Fm-3m (No. 225)
One atom of each set of equivalent atoms:
Cs1 0.000 0.000 0.000 (multiplicity 4)
K1 0.000 0.000 0.500 (multiplicity 4)
I1 0.250 0.250 0.250 (multiplicity 8)

Relative energies in meV per atom: w 15; x 0; y 60

## w
Crystalline CsK2I at its relaxed geometry, computed with PBE.

Lattice parameters (Å, degrees): 4.9916 4.9916 40.9078 90.00 90.00 120.00
Space group R-3m (No. 166, hexagonal axes)
One atom of each set of equivalent atoms:
Cs1 0.0000 0.0000 0.0000 (multiplicity 3)
K1 0.0000 0.0000 0.1140 (multiplicity 6)
I1 0.0000 0.0000 0.5000 (multiplicity 3)

## x
Crystalline CsK2I at its relaxed geometry, computed with PBE.

Lattice parameters (Å, degrees): 10.168 10.168 10.168 90.00 90.00 90.00
Space group Fm-3m (No. 225)
One atom of each set of equivalent atoms:
Cs1 0.000 0.000 0.000 (multiplicity 4)
K1 0.250 0.250 0.250 (multiplicity 8)
I1 0.000 0.000 0.500 (multiplicity 4)

Relative energies in meV per atom: w 0; x 245